(1)
# Cd2PbW2 | Alexandria via LeMat-Bulk | GGA-PBE | relaxed
data_Cd2PbW2
_symmetry_space_group_name_H-M 'I 4/m m m'
_symmetry_Int_Tables_number 139
_symmetry_space_group_name_Hall '-I 4 2'
_cell_length_a 3.9156
_cell_length_b 3.9156
_cell_length_c 13.9684
_cell_angle_alpha 90.00
_cell_angle_beta 90.00
_cell_angle_gamma 90.00
loop_
_atom_site_label
_atom_site_type_symbol
_atom_site_fract_x
_atom_site_fract_y
_atom_site_fract_z
Cd1 Cd 0.0000 0.5000 0.2500
Pb1 Pb 0.0000 0.0000 0.0000
W1 W 0.0000 0.0000 0.4127
# Formation energy: 1.11 eV/atom
# Raw total energy: -5.177 eV per atom


(2)
# CsSn2RhF | Alexandria via LeMat-Bulk | GGA-PBE | relaxed
data_CsSn2RhF
_symmetry_space_group_name_H-M 'P 4/m m m'
_symmetry_Int_Tables_number 123
_symmetry_space_group_name_Hall '-P 4 2'
_cell_length_a 4.9285
_cell_length_b 4.9285
_cell_length_c 9.2893
_cell_angle_alpha 90.00
_cell_angle_beta 90.00
_cell_angle_gamma 90.00
loop_
_atom_site_label
_atom_site_type_symbol
_atom_site_fract_x
_atom_site_fract_y
_atom_site_fract_z
Cs1 Cs 0.0000 0.0000 0.0000
Sn1 Sn 0.0000 0.5000 0.5000
Rh1 Rh 0.5000 0.5000 0.5000
F1 F 0.5000 0.5000 0.0000
# Raw total energy: -4.202 eV per atom


(3)
# Tl4Se2I | Alexandria via LeMat-Bulk | GGA-PBE | relaxed
data_Tl4Se2I
_symmetry_space_group_name_H-M 'P 1'
_symmetry_Int_Tables_number 1
_cell_length_a 8.0708
_cell_length_b 8.4325
_cell_length_c 9.2025
_cell_angle_alpha 113.43
_cell_angle_beta 95.96
_cell_angle_gamma 108.01
loop_
_symmetry_equiv_pos_as_xyz
'x,y,z'
loop_
_atom_site_label
_atom_site_type_symbol
_atom_site_fract_x
_atom_site_fract_y
_atom_site_fract_z
Tl1 Tl 0.0000 0.0000 0.0000
Tl2 Tl 0.0024 0.9766 0.5703
Tl3 Tl 0.4555 0.5241 0.1715
Tl4 Tl 0.4939 0.2374 0.7779
Tl5 Tl 0.5286 0.7233 0.6687
Tl6 Tl 0.6192 0.0995 0.1560
Tl7 Tl 0.9483 0.5096 0.6860
Tl8 Tl 0.9858 0.5692 0.1696
Se1 Se 0.2587 0.9280 0.8606
Se2 Se 0.7369 0.6994 0.9798
Se3 Se 0.7475 0.5656 0.4213
Se4 Se 0.8315 0.1596 0.8611
I1 I 0.1474 0.2949 0.3566
I2 I 0.4326 0.9245 0.4021
# Raw total energy: -2.960 eV per atom


(4)
# AlZn2Ag3 | Alexandria via LeMat-Bulk | GGA-PBE | relaxed
data_AlZn2Ag3
_symmetry_space_group_name_H-M 'C m m m'
_symmetry_Int_Tables_number 65
_symmetry_space_group_name_Hall '-C 2 2'
_cell_length_a 4.2300
_cell_length_b 12.5675
_cell_length_c 7.3547
_cell_angle_alpha 90.00
_cell_angle_beta 90.00
_cell_angle_gamma 90.00
loop_
_atom_site_label
_atom_site_type_symbol
_atom_site_fract_x
_atom_site_fract_y
_atom_site_fract_z
Al1 Al 0.0000 0.1650 0.0000
Zn1 Zn 0.0000 0.1679 0.5000
Zn2 Zn 0.0000 0.5000 0.0000
Zn3 Zn 0.0000 0.5000 0.5000
Ag1 Ag 0.0000 0.0000 0.2508
Ag2 Ag 0.0000 0.3331 0.2481
# Formation energy: -0.03 eV/atom
# Raw total energy: -2.505 eV per atom


(5)
# In2Pd3Pb2 | Alexandria via LeMat-Bulk | GGA-PBE | relaxed
data_In2Pd3Pb2
_symmetry_space_group_name_H-M 'P -1'
_symmetry_Int_Tables_number 2
_cell_length_a 4.6557
_cell_length_b 4.9224
_cell_length_c 7.4831
_cell_angle_alpha 70.82
_cell_angle_beta 71.90
_cell_angle_gamma 89.98
loop_
_symmetry_equiv_pos_as_xyz
'x,y,z'
'-x,-y,-z'
loop_
_atom_site_label
_atom_site_type_symbol
_atom_site_fract_x
_atom_site_fract_y
_atom_site_fract_z
In1 In 0.1216 0.1224 0.2560
Pd1 Pd 0.2518 0.7533 0.9954
Pd2 Pd 0.5000 0.0000 0.5000
Pb1 Pb 0.3757 0.3763 0.7481
# Formation energy: -0.28 eV/atom
# Raw total energy: -4.345 eV per atom


(6)
# TiI2NO | Alexandria via LeMat-Bulk | GGA-PBE | relaxed
data_TiI2NO
_symmetry_space_group_name_H-M 'P 4/m m m'
_symmetry_Int_Tables_number 123
_symmetry_space_group_name_Hall '-P 4 2'
_cell_length_a 4.9452
_cell_length_b 4.9452
_cell_length_c 3.6989
_cell_angle_alpha 90.00
_cell_angle_beta 90.00
_cell_angle_gamma 90.00
loop_
_atom_site_label
_atom_site_type_symbol
_atom_site_fract_x
_atom_site_fract_y
_atom_site_fract_z
Ti1 Ti 0.0000 0.0000 0.0000
I1 I 0.0000 0.5000 0.5000
N1 N 0.5000 0.5000 0.5000
O1 O 0.5000 0.5000 0.0000
# Raw total energy: -3.896 eV per atom


(7)
# KSrHoF6 | Alexandria via LeMat-Bulk | GGA-PBE | relaxed
data_KSrHoF6
_symmetry_space_group_name_H-M 'P -3 1 c'
_symmetry_Int_Tables_number 163
_symmetry_space_group_name_Hall '-P 3 2c'
_cell_length_a 6.3728
_cell_length_b 6.3728
_cell_length_c 10.0545
_cell_angle_alpha 90.00
_cell_angle_beta 90.00
_cell_angle_gamma 120.00
loop_
_atom_site_label
_atom_site_type_symbol
_atom_site_fract_x
_atom_site_fract_y
_atom_site_fract_z
K1 K 0.0000 0.0000 0.0000
Sr1 Sr 0.3333 0.6667 0.2500
Ho1 Ho 0.3333 0.6667 0.7500
F1 F 0.0302 0.3819 0.6383
# Raw total energy: -5.803 eV per atom


(8)
# ErScGe | Alexandria via LeMat-Bulk | GGA-PBE | relaxed
data_ErScGe
_symmetry_space_group_name_H-M 'P -1'
_symmetry_Int_Tables_number 2
_cell_length_a 3.2609
_cell_length_b 5.8854
_cell_length_c 7.7974
_cell_angle_alpha 109.07
_cell_angle_beta 90.01
_cell_angle_gamma 106.01
loop_
_symmetry_equiv_pos_as_xyz
'x,y,z'
'-x,-y,-z'
loop_
_atom_site_label
_atom_site_type_symbol
_atom_site_fract_x
_atom_site_fract_y
_atom_site_fract_z
Er1 Er 0.1548 0.3091 0.1166
Sc1 Sc 0.1352 0.2693 0.5263
Ge1 Ge 0.4449 0.8907 0.2242
# Formation energy: -0.49 eV/atom
# Raw total energy: -5.664 eV per atom


(9)
# HgPtF2 | Alexandria via LeMat-Bulk | GGA-PBE | relaxed
data_HgPtF2
_symmetry_space_group_name_H-M 'R -3 m'
_symmetry_Int_Tables_number 166
_symmetry_space_group_name_Hall '-R 3 2"'
_cell_length_a 2.8844
_cell_length_b 2.8844
_cell_length_c 25.4709
_cell_angle_alpha 90.00
_cell_angle_beta 90.00
_cell_angle_gamma 120.00
loop_
_atom_site_label
_atom_site_type_symbol
_atom_site_fract_x
_atom_site_fract_y
_atom_site_fract_z
Hg1 Hg 0.0000 0.0000 0.0000
Pt1 Pt 0.0000 0.0000 0.5000
F1 F 0.0000 0.0000 0.4226
# Raw total energy: -3.357 eV per atom


(10)
# Zr2Sc2Tl | Alexandria via LeMat-Bulk | GGA-PBE | relaxed
data_Zr2Sc2Tl
_symmetry_space_group_name_H-M 'C 1 2/m 1'
_symmetry_Int_Tables_number 12
_cell_length_a 16.3610
_cell_length_b 4.4239
_cell_length_c 3.3008
_cell_angle_alpha 90.00
_cell_angle_beta 101.49
_cell_angle_gamma 90.00
loop_
_symmetry_equiv_pos_as_xyz
'x,y,z'
'-x,-y,-z'
'-x,y,-z'
'x,-y,z'
'x+1/2,y+1/2,z'
'-x+1/2,-y+1/2,-z'
'-x+1/2,y+1/2,-z'
'x+1/2,-y+1/2,z'
loop_
_atom_site_label
_atom_site_type_symbol
_atom_site_fract_x
_atom_site_fract_y
_atom_site_fract_z
Zr1 Zr 0.2067 0.0000 0.2071
Sc1 Sc 0.1002 0.5000 0.6011
Tl1 Tl 0.0000 0.0000 0.0000
# Formation energy: -0.13 eV/atom
# Raw total energy: -6.556 eV per atom


(11)
# ScBeBr | Alexandria via LeMat-Bulk | GGA-PBE | relaxed
data_ScBeBr
_symmetry_space_group_name_H-M 'P -6 m 2'
_symmetry_Int_Tables_number 187
_symmetry_space_group_name_Hall 'P -6 2'
_cell_length_a 4.4247
_cell_length_b 4.4247
_cell_length_c 3.2445
_cell_angle_alpha 90.00
_cell_angle_beta 90.00
_cell_angle_gamma 120.00
loop_
_atom_site_label
_atom_site_type_symbol
_atom_site_fract_x
_atom_site_fract_y
_atom_site_fract_z
Sc1 Sc 0.0000 0.0000 0.0000
Be1 Be 0.6667 0.3333 0.5000
Br1 Br 0.3333 0.6667 0.5000
# Raw total energy: -3.715 eV per atom


(12)
# Ba2LaInTe4 | Alexandria via LeMat-Bulk | GGA-PBE | relaxed
data_Ba2LaInTe4
_symmetry_space_group_name_H-M 'P 1 2/m 1'
_symmetry_Int_Tables_number 10
_cell_length_a 8.2296
_cell_length_b 4.8547
_cell_length_c 8.5626
_cell_angle_alpha 90.00
_cell_angle_beta 108.87
_cell_angle_gamma 90.00
loop_
_symmetry_equiv_pos_as_xyz
'x,y,z'
'-x,-y,-z'
'-x,y,-z'
'x,-y,z'
loop_
_atom_site_label
_atom_site_type_symbol
_atom_site_fract_x
_atom_site_fract_y
_atom_site_fract_z
Ba1 Ba 0.0000 0.0000 0.0000
Ba2 Ba 0.0000 0.5000 0.5000
La1 La 0.5000 0.0000 0.5000
In1 In 0.5000 0.5000 0.0000
Te1 Te 0.2671 0.0000 0.7402
Te2 Te 0.2726 0.5000 0.2657
# Raw total energy: -4.398 eV per atom